{"formula": "TlZn3Ni", "functional": "SCAN", "state": "single point on PBEsol structure", "e_form_ev_per_atom": 0.18, "rho_g_cm3": 8.0, "cell": [[4.571, 0.000, 0.000], [0.000, 4.571, 0.000], [0.000, 0.000, 4.571]], "species": ["Tl", "Zn", "Zn", "Zn", "Ni"], "fractional_positions": [[0.000, 0.000, 0.000], [0.000, 0.500, 0.500], [0.500, 0.000, 0.500], [0.500, 0.500, 0.000], [0.500, 0.500, 0.500]]}


{"formula": "TlZnNi2", "functional": "SCAN", "state": "single point on PBEsol structure", "de_polymorph_ev_per_atom": 0.0000, "e_form_ev_per_atom": 0.17, "rho_g_cm3": 11.7, "cell": [[3.980, 0.000, 0.000], [0.000, 3.980, 0.000], [0.000, 0.000, 3.470]], "species": ["Tl", "Zn", "Ni", "Ni"], "fractional_positions": [[0.000, 0.000, 0.000], [0.500, 0.500, 0.000], [0.000, 0.500, 0.500], [0.500, 0.000, 0.500]]}


{"formula": "ZrTl2ZnNi", "functional": "SCAN", "state": "single point on PBEsol structure", "e_form_ev_per_atom": 0.66, "rho_g_cm3": 9.7, "cell": [[4.946, 0.000, 0.000], [0.000, 4.946, 0.000], [0.000, 0.000, 4.371]], "species": ["Zr", "Tl", "Tl", "Zn", "Ni"], "fractional_positions": [[0.000, 0.000, 0.000], [0.000, 0.500, 0.500], [0.500, 0.000, 0.500], [0.500, 0.500, 0.500], [0.500, 0.500, 0.000]]}


{"formula": "TmNi3", "functional": "SCAN", "state": "single point on PBEsol structure", "e_form_ev_per_atom": -0.34, "rho_g_cm3": 10.8, "cell": [[2.694, 1.556, 6.345], [-2.694, 1.556, 6.345], [0.000, -3.111, 6.345]], "species": ["Tm", "Tm", "Tm", "Ni", "Ni", "Ni", "Ni", "Ni", "Ni", "Ni", "Ni", "Ni"], "fractional_positions": [[0.000, 0.000, 0.000], [0.218, 0.218, 0.218], [0.782, 0.782, 0.782], [0.000, 0.500, 0.500], [0.261, 0.705, 0.705], [0.295, 0.295, 0.739], [0.295, 0.739, 0.295], [0.500, 0.000, 0.500], [0.500, 0.500, 0.000], [0.705, 0.261, 0.705], [0.705, 0.705, 0.261], [0.739, 0.295, 0.295]]}


{"formula": "TmNi2", "functional": "SCAN", "state": "single point on PBEsol structure", "e_form_ev_per_atom": -0.52, "rho_g_cm3": 11.2, "cell": [[0.000, 3.490, 3.490], [3.490, 0.000, 3.490], [3.490, 3.490, 0.000]], "species": ["Tm", "Tm", "Ni", "Ni", "Ni", "Ni"], "fractional_positions": [[0.125, 0.125, 0.125], [0.875, 0.875, 0.875], [0.000, 0.500, 0.500], [0.500, 0.000, 0.500], [0.500, 0.500, 0.000], [0.500, 0.500, 0.500]]}


{"formula": "Tm2Ni17", "functional": "SCAN", "state": "single point on PBEsol structure", "e_form_ev_per_atom": -0.20, "rho_g_cm3": 9.9, "cell": [[8.125, 0.000, 0.000], [-4.062, 7.036, 0.000], [0.000, 0.000, 7.867]], "species": ["Tm", "Tm", "Tm", "Tm", "Ni", "Ni", "Ni", "Ni", "Ni", "Ni", "Ni", "Ni", "Ni", "Ni", "Ni", "Ni", "Ni", "Ni", "Ni", "Ni", "Ni", "Ni", "Ni", "Ni", "Ni", "Ni", "Ni", "Ni", "Ni", "Ni", "Ni", "Ni", "Ni", "Ni", "Ni", "Ni", "Ni", "Ni"], "fractional_positions": [[0.000, 0.000, 0.250], [0.000, 0.000, 0.750], [0.333, 0.667, 0.250], [0.667, 0.333, 0.750], [0.000, 0.500, 0.000], [0.000, 0.500, 0.500], [0.042, 0.370, 0.750], [0.042, 0.672, 0.750], [0.165, 0.331, 0.022], [0.165, 0.331, 0.478], [0.165, 0.835, 0.022], [0.165, 0.835, 0.478], [0.328, 0.370, 0.750], [0.328, 0.958, 0.750], [0.331, 0.165, 0.522], [0.331, 0.165, 0.978], [0.333, 0.667, 0.601], [0.333, 0.667, 0.899], [0.370, 0.042, 0.250], [0.370, 0.328, 0.250], [0.500, 0.000, 0.000], [0.500, 0.000, 0.500], [0.500, 0.500, 0.000], [0.500, 0.500, 0.500], [0.630, 0.672, 0.750], [0.630, 0.958, 0.750], [0.667, 0.333, 0.101], [0.667, 0.333, 0.399], [0.669, 0.835, 0.022], [0.669, 0.835, 0.478], [0.672, 0.042, 0.250], [0.672, 0.630, 0.250], [0.835, 0.165, 0.522], [0.835, 0.165, 0.978], [0.835, 0.669, 0.522], [0.835, 0.669, 0.978], [0.958, 0.328, 0.250], [0.958, 0.630, 0.250]]}


{"formula": "UNi5", "functional": "SCAN", "state": "single point on PBEsol structure", "e_form_ev_per_atom": -0.17, "rho_g_cm3": 11.9, "cell": [[0.000, 3.331, 3.331], [3.331, 0.000, 3.331], [3.331, 3.331, 0.000]], "species": ["U", "Ni", "Ni", "Ni", "Ni", "Ni"], "fractional_positions": [[0.000, 0.000, 0.000], [0.376, 0.376, 0.376], [0.376, 0.376, 0.872], [0.376, 0.872, 0.376], [0.750, 0.750, 0.750], [0.872, 0.376, 0.376]]}


{"formula": "UZnNi4", "functional": "SCAN", "state": "single point on PBEsol structure", "e_form_ev_per_atom": -0.21, "rho_g_cm3": 11.6, "cell": [[0.000, 3.379, 3.379], [3.379, 0.000, 3.379], [3.379, 3.379, 0.000]], "species": ["U", "Zn", "Ni", "Ni", "Ni", "Ni"], "fractional_positions": [[0.000, 0.000, 0.000], [0.250, 0.250, 0.250], [0.129, 0.624, 0.624], [0.624, 0.129, 0.624], [0.624, 0.624, 0.129], [0.624, 0.624, 0.624]]}


{"formula": "V3Ni", "functional": "SCAN", "state": "single point on PBEsol structure", "e_form_ev_per_atom": -0.20, "rho_g_cm3": 7.2, "cell": [[4.606, 0.000, 0.000], [0.000, 4.606, 0.000], [0.000, 0.000, 4.606]], "species": ["V", "V", "V", "V", "V", "V", "Ni", "Ni"], "fractional_positions": [[0.000, 0.250, 0.500], [0.000, 0.750, 0.500], [0.250, 0.500, 0.000], [0.500, 0.000, 0.250], [0.500, 0.000, 0.750], [0.750, 0.500, 0.000], [0.000, 0.000, 0.000], [0.500, 0.500, 0.500]]}


{"formula": "V3Ni2", "functional": "SCAN", "state": "single point on PBEsol structure", "e_form_ev_per_atom": -0.22, "rho_g_cm3": 7.6, "cell": [[8.781, 0.000, 0.000], [0.000, 4.521, 0.000], [-0.061, 0.000, 8.875]], "species": ["V", "V", "V", "V", "V", "V", "V", "V", "V", "V", "V", "V", "V", "V", "V", "V", "V", "V", "Ni", "Ni", "Ni", "Ni", "Ni", "Ni", "Ni", "Ni", "Ni", "Ni", "Ni", "Ni"], "fractional_positions": [[0.036, 0.000, 0.126], [0.110, 0.000, 0.393], [0.126, 0.500, 0.964], [0.183, 0.247, 0.679], [0.183, 0.753, 0.679], [0.323, 0.254, 0.182], [0.323, 0.746, 0.182], [0.378, 0.000, 0.465], [0.391, 0.500, 0.897], [0.609, 0.500, 0.103], [0.622, 0.000, 0.535], [0.677, 0.254, 0.818], [0.677, 0.746, 0.818], [0.817, 0.247, 0.321], [0.817, 0.753, 0.321], [0.874, 0.500, 0.036], [0.890, 0.000, 0.607], [0.964, 0.000, 0.874], [0.000, 0.500, 0.500], [0.068, 0.500, 0.242], [0.241, 0.000, 0.934], [0.262, 0.500, 0.434], [0.432, 0.000, 0.742], [0.463, 0.500, 0.631], [0.500, 0.000, 0.000], [0.537, 0.500, 0.369], [0.568, 0.000, 0.258], [0.738, 0.500, 0.566], [0.759, 0.000, 0.066], [0.932, 0.500, 0.758]]}


{"formula": "VNi2", "functional": "SCAN", "state": "single point on PBEsol structure", "e_form_ev_per_atom": -0.25, "rho_g_cm3": 8.5, "cell": [[-1.247, 1.758, 3.749], [1.247, -1.758, 3.749], [1.247, 1.758, -3.749]], "species": ["V", "Ni", "Ni"], "fractional_positions": [[0.000, 0.000, 0.000], [0.332, 0.332, 0.000], [0.668, 0.668, 0.000]]}


{"formula": "Ni2W", "functional": "SCAN", "state": "single point on PBEsol structure", "e_form_ev_per_atom": 0.00, "rho_g_cm3": 13.9, "cell": [[4.048, 0.000, 0.000], [-2.024, 3.505, 0.000], [0.000, 0.000, 2.531]], "species": ["Ni", "Ni", "W"], "fractional_positions": [[0.333, 0.667, 0.000], [0.667, 0.333, 0.000], [0.000, 0.000, 0.500]]}